{
  "formula": "HoThInCu",
  "functional": "PBE",
  "state": "optimized geometry",
  "magmom_total_mub_per_cell": 0.00,
  "formation_energy_ev_per_atom": -0.16,
  "rho_g_cm3": 9.396,
  "cell": [[-1.1302, 3.6318, 3.6028], [-4.9842, 1.3495, 0.8853], [-2.3345, -1.3910, 4.4791]],
  "species": ["In", "Cu", "Th", "Ho"],
  "fractional_positions": [[0.7500, 0.7500, 0.7500], [0.2500, 0.2500, 0.2500], [0.5000, 0.5000, 0.5000], [0.0000, 0.0000, 0.0000]]
}

{
  "formula": "HoTiInCu",
  "functional": "PBE",
  "state": "optimized geometry",
  "magmom_total_mub_per_cell": 1.34,
  "formation_energy_ev_per_atom": -0.09,
  "rho_g_cm3": 7.891,
  "cell": [[-0.5473, -3.4014, 3.4602], [3.0293, -0.0978, 3.8283], [-1.6216, 1.2621, 4.4294]],
  "species": ["In", "Ti", "Cu", "Ho"],
  "fractional_positions": [[0.5000, 0.5000, 0.5000], [0.2500, 0.2500, 0.2500], [0.0000, 0.0000, 0.0000], [0.7500, 0.7500, 0.7500]]
}

{
  "formula": "HoTlInCu",
  "functional": "PBE",
  "state": "optimized geometry",
  "magmom_total_mub_per_cell": 0.00,
  "formation_energy_ev_per_atom": -0.10,
  "rho_g_cm3": 10.070,
  "cell": [[-4.2229, 2.0195, -1.8573], [-3.9978, 0.6679, 2.9887], [-1.3780, 4.6487, 1.3606]],
  "species": ["Ho", "Tl", "In", "Cu"],
  "fractional_positions": [[0.7500, 0.7500, 0.7500], [0.5000, 0.5000, 0.5000], [0.2500, 0.2500, 0.2500], [0.0000, 0.0000, 0.0000]]
}

{
  "formula": "HoTmInCu",
  "functional": "PBE",
  "state": "optimized geometry",
  "magmom_total_mub_per_cell": 0.00,
  "formation_energy_ev_per_atom": -0.32,
  "rho_g_cm3": 8.999,
  "cell": [[5.1129, 0.0000, 0.0000], [2.5565, 4.4279, 0.0000], [2.5565, 1.4760, 4.1747]],
  "species": ["Tm", "Cu", "In", "Ho"],
  "fractional_positions": [[0.5000, 0.5000, 0.5000], [0.2500, 0.2500, 0.2500], [0.7500, 0.7500, 0.7500], [0.0000, 0.0000, 0.0000]]
}

{
  "formula": "YHoInCu",
  "functional": "PBE",
  "state": "optimized geometry",
  "magmom_total_mub_per_cell": 0.00,
  "formation_energy_ev_per_atom": -0.32,
  "rho_g_cm3": 7.406,
  "cell": [[5.1556, 0.0000, 0.0000], [2.5778, 4.4649, 0.0000], [2.5778, 1.4883, 4.2095]],
  "species": ["Y", "Ho", "In", "Cu"],
  "fractional_positions": [[0.7500, 0.7500, 0.7500], [0.2500, 0.2500, 0.2500], [0.5000, 0.5000, 0.5000], [0.0000, 0.0000, 0.0000]]
}

{
  "formula": "HoZrInCu",
  "functional": "PBE",
  "state": "optimized geometry",
  "magmom_total_mub_per_cell": 0.77,
  "formation_energy_ev_per_atom": -0.17,
  "rho_g_cm3": 8.216,
  "cell": [[4.9892, 0.0000, 0.0000], [2.4946, 4.3208, 0.0000], [2.4946, 1.4403, 4.0737]],
  "species": ["Zr", "Cu", "Ho", "In"],
  "fractional_positions": [[0.5000, 0.5000, 0.5000], [0.7500, 0.7500, 0.7500], [0.0000, 0.0000, 0.0000], [0.2500, 0.2500, 0.2500]]
}

{
  "formula": "Ho2CuIr2",
  "functional": "PBE",
  "state": "optimized geometry",
  "magmom_total_mub_per_cell": 0.00,
  "formation_energy_ev_per_atom": -0.70,
  "rho_g_cm3": 13.179,
  "cell": [[-2.7375, -2.6893, 1.7104], [1.7112, -4.0526, -3.6333], [3.3621, 2.1737, 3.6387]],
  "species": ["Cu", "Ho", "Ir", "Ho", "Ir"],
  "fractional_positions": [[0.0000, 0.0000, 0.0000], [0.7942, 0.2942, 0.5884], [0.5000, 0.2720, 0.0000], [0.2058, 0.7058, 0.4116], [0.5000, 0.7280, 0.0000]]
}

{
  "formula": "Ho4CuIr2",
  "functional": "PBE",
  "state": "optimized geometry",
  "magmom_total_mub_per_cell": 0.00,
  "formation_energy_ev_per_atom": -0.61,
  "rho_g_cm3": 11.576,
  "relative_energy_mev_per_atom": 65,
  "cell": [[-3.1695, -0.8027, -6.6902], [2.4737, -6.6092, 2.3942], [-5.0125, 2.6628, 4.8137]],
  "species": ["Ho", "Ho", "Ho", "Cu", "Ir", "Ho", "Ho", "Ho", "Ir", "Ho", "Cu", "Ho", "Ir", "Ir"],
  "fractional_positions": [[0.8665, 0.6167, 0.1178], [0.8667, 0.6164, 0.6175], [0.4989, 0.7487, 0.8820], [0.2525, 0.7526, 0.5000], [0.7575, 0.8753, 0.3833], [0.2489, 0.1333, 0.7489], [0.7504, 0.1346, 0.7513], [0.3845, 0.5000, 0.2511], [0.4920, 0.3743, 0.6168], [0.3834, 0.9992, 0.2489], [0.0001, 0.0000, 0.9999], [0.9988, 0.2489, 0.3824], [0.6244, 0.2418, 0.1164], [0.1254, 0.5080, 0.8837]]
}

{
  "formula": "HoCuIr4",
  "functional": "PBE",
  "state": "optimized geometry",
  "magmom_total_mub_per_cell": 0.01,
  "formation_energy_ev_per_atom": -0.23,
  "rho_g_cm3": 16.259,
  "cell": [[5.2421, 0.0000, 0.0000], [2.6211, 4.5398, 0.0000], [2.6211, 1.5133, 4.2802]],
  "species": ["Ir", "Ir", "Ir", "Cu", "Ho", "Ir"],
  "fractional_positions": [[0.1239, 0.6254, 0.6254], [0.6254, 0.6254, 0.1239], [0.6254, 0.1239, 0.6254], [0.0000, 0.0000, 0.0000], [0.2500, 0.2500, 0.2500], [0.6254, 0.6254, 0.6254]]
}

{
  "formula": "Ho6Cu5Ir",
  "functional": "PBE",
  "state": "optimized geometry",
  "magmom_total_mub_per_cell": 0.00,
  "formation_energy_ev_per_atom": -0.39,
  "rho_g_cm3": 10.138,
  "cell": [[4.6722, 0.0198, -1.3631], [-0.9492, 6.0735, -3.1631], [-0.0778, 0.4395, 8.4238]],
  "species": ["Ir", "Ho", "Ho", "Cu", "Ho", "Cu", "Ho", "Ho", "Cu", "Cu", "Cu", "Ho"],
  "fractional_positions": [[0.0000, 0.0000, 0.0000], [0.1643, 0.4109, 0.3278], [0.5001, 0.2450, 0.0001], [0.6653, 0.6657, 0.3309], [0.8357, 0.0832, 0.6723], [0.3347, 0.3343, 0.6691], [0.8357, 0.5891, 0.6722], [0.1643, 0.9168, 0.3277], [0.6714, 0.1696, 0.3402], [0.3286, 0.8304, 0.6598], [0.0000, 0.5000, 0.0000], [0.4999, 0.7550, 0.9999]]
}

{
  "formula": "Ho2CuIr",
  "functional": "PBE",
  "state": "optimized geometry",
  "magmom_total_mub_per_cell": 0.00,
  "formation_energy_ev_per_atom": -0.65,
  "rho_g_cm3": 11.438,
  "cell": [[4.3019, 0.0000, 0.0000], [0.0000, 5.2001, -1.9287], [0.0000, 0.0060, 7.5989]],
  "species": ["Ho", "Ho", "Ir", "Ir", "Cu", "Cu", "Ho", "Ho"],
  "fractional_positions": [[0.7500, 0.2148, 0.4359], [0.7500, 0.2275, 0.9247], [0.7500, 0.6494, 0.2856], [0.2500, 0.3506, 0.7144], [0.7500, 0.6577, 0.7889], [0.2500, 0.3423, 0.2111], [0.2500, 0.7725, 0.0753], [0.2500, 0.7852, 0.5641]]
}

{
  "formula": "Ho2CuIr",
  "functional": "PBE",
  "state": "optimized geometry",
  "magmom_total_mub_per_cell": 0.00,
  "formation_energy_ev_per_atom": -0.59,
  "rho_g_cm3": 12.057,
  "cell": [[-0.8215, -1.3688, -3.1022], [-2.3614, -3.5650, 2.1984], [-4.0324, 2.6173, -0.0871]],
  "species": ["Cu", "Ho", "Ho", "Ir"],
  "fractional_positions": [[0.5000, 0.0000, 0.0000], [0.0000, 0.5000, 0.0000], [0.0000, 0.0000, 0.5000], [0.5000, 0.5000, 0.5000]]
}

{
  "formula": "Ho7Cu2Ir2",
  "functional": "PBE",
  "state": "optimized geometry",
  "magmom_total_mub_per_cell": 0.00,
  "formation_energy_ev_per_atom": -0.30,
  "rho_g_cm3": 9.562,
  "cell": [[6.5347, -0.0025, -0.7700], [0.0032, 6.9886, 0.0030], [-1.1757, -0.0024, 6.4740]],
  "species": ["Ho", "Ho", "Cu", "Cu", "Ho", "Ir", "Ir", "Ho", "Ho", "Ho", "Ho"],
  "fractional_positions": [[0.0000, 0.0000, 0.0000], [0.0002, 0.7386, 0.4997], [0.8177, 0.5000, 0.8177], [0.1823, 0.5000, 0.1823], [0.5003, 0.7386, 0.9998], [0.7123, 0.0000, 0.2877], [0.2877, 0.0000, 0.7123], [0.5002, 0.7445, 0.4998], [0.9998, 0.2614, 0.5003], [0.4998, 0.2555, 0.5002], [0.4997, 0.2614, 0.0002]]
}

{
  "formula": "Ho4CuIr2",
  "functional": "PBE",
  "state": "optimized geometry",
  "magmom_total_mub_per_cell": 0.00,
  "formation_energy_ev_per_atom": -0.67,
  "rho_g_cm3": 11.675,
  "relative_energy_mev_per_atom": 0,
  "cell": [[-1.1033, -2.4703, -3.9774], [-3.9165, -2.7915, -0.0887], [-5.9433, 4.3193, -3.9429]],
  "species": ["Ho", "Ir", "Ho", "Ir", "Ho", "Ho", "Cu"],
  "fractional_positions": [[0.1265, 0.1265, 0.6206], [0.2513, 0.2513, 0.2460], [0.3771, 0.3771, 0.8688], [0.7487, 0.7487, 0.7540], [0.8735, 0.8735, 0.3794], [0.6229, 0.6229, 0.1312], [0.0000, 0.0000, 0.0000]]
}

{
  "formula": "Ho3CuIr2",
  "functional": "PBE",
  "state": "optimized geometry",
  "magmom_total_mub_per_cell": 0.00,
  "formation_energy_ev_per_atom": -0.71,
  "rho_g_cm3": 12.991,
  "cell": [[-1.0064, -3.9788, -2.5662], [2.7477, 3.4899, -1.9236], [9.7229, -5.2609, 4.3438]],
  "species": ["Ho", "Cu", "Ir", "Ho", "Ho", "Ho", "Ir", "Ho", "Ho", "Cu", "Ir", "Ir"],
  "fractional_positions": [[0.6667, 0.3333, 0.5835], [0.3333, 0.6667, 0.6683], [0.0000, 0.0000, 0.5000], [0.0000, 0.0000, 0.7528], [0.6667, 0.3333, 0.0813], [0.3333, 0.6667, 0.9187], [0.0000, 0.0000, 0.0000], [0.0000, 0.0000, 0.2472], [0.3333, 0.6667, 0.4165], [0.6667, 0.3333, 0.3317], [0.6667, 0.3333, 0.8300], [0.3333, 0.6667, 0.1700]]
}

{
  "formula": "Ho5CuIr4",
  "functional": "PBE",
  "state": "optimized geometry",
  "magmom_total_mub_per_cell": 0.29,
  "formation_energy_ev_per_atom": -0.74,
  "rho_g_cm3": 13.687,
  "cell": [[3.4039, 0.0000, 0.0000], [0.0000, 3.4039, 0.0000], [0.0000, 0.0000, 17.3512]],
  "species": ["Ho", "Ir", "Ir", "Ho", "Ir", "Cu", "Ho", "Ho", "Ho", "Ir"],
  "fractional_positions": [[0.5000, 0.5000, 0.6985], [0.0000, 0.0000, 0.7998], [0.0000, 0.0000, 0.2002], [0.5000, 0.5000, 0.3015], [0.0000, 0.0000, 0.5996], [0.0000, 0.0000, 0.0000], [0.5000, 0.5000, 0.8954], [0.5000, 0.5000, 0.5000], [0.5000, 0.5000, 0.1046], [0.0000, 0.0000, 0.4004]]
}

{
  "formula": "HoLuCuIr",
  "functional": "PBE",
  "state": "optimized geometry",
  "magmom_total_mub_per_cell": 0.00,
  "formation_energy_ev_per_atom": -0.65,
  "rho_g_cm3": 12.570,
  "cell": [[-1.0497, 4.1179, 2.2531], [-0.0897, 0.1563, 4.8066], [3.4308, 2.3741, 2.3935]],
  "species": ["Lu", "Ho", "Ir", "Cu"],
  "fractional_positions": [[0.5000, 0.5000, 0.5000], [0.0000, 0.0000, 0.0000], [0.7500, 0.7500, 0.7500], [0.2500, 0.2500, 0.2500]]
}

{
  "formula": "HoCuIrO6",
  "functional": "PBE",
  "state": "optimized geometry",
  "e_form_raw_ev_per_atom": -1.230,
  "magmom_total_mub_per_cell": 0.00,
  "rho_g_cm3": 8.022,
  "cell": [[5.3797, 0.0000, 0.0000], [-2.6899, 4.6590, 0.0000], [0.0000, 0.0000, 8.5345]],
  "species": ["Ir", "O", "O", "O", "O", "Ir", "Cu", "O", "Cu", "O", "O", "O", "O", "O", "O", "Ho", "Ho", "O"],
  "fractional_positions": [[0.3333, 0.6667, 0.7500], [0.9589, 0.6347, 0.3777], [0.6347, 0.9589, 0.8777], [0.3653, 0.0411, 0.1223], [0.0411, 0.3653, 0.6223], [0.6667, 0.3333, 0.2500], [0.0000, 0.0000, 0.0000], [0.0411, 0.6758, 0.8777], [0.0000, 0.0000, 0.5000], [0.6758, 0.6347, 0.1223], [0.3242, 0.9589, 0.6223], [0.6347, 0.6758, 0.6223], [0.6758, 0.0411, 0.3777], [0.3242, 0.3653, 0.8777], [0.3653, 0.3242, 0.3777], [0.3333, 0.6667, 0.2500], [0.6667, 0.3333, 0.7500], [0.9589, 0.3242, 0.1223]]
}

{
  "formula": "Ho2CuP3Ir4",
  "functional": "PBE",
  "state": "optimized geometry",
  "magmom_total_mub_per_cell": 0.00,
  "formation_energy_ev_per_atom": -0.87,
  "rho_g_cm3": 12.837,
  "cell": [[4.0492, 0.0000, 0.0000], [0.0000, 4.0492, 0.0000], [0.0000, 0.0000, 9.9022]],
  "species": ["Ho", "Cu", "P", "Ir", "Ir", "Ho", "Ir", "P", "P", "Ir"],
  "fractional_positions": [[0.0000, 0.5000, 0.7443], [0.5000, 0.5000, 0.5000], [0.0000, 0.0000, 0.5000], [0.0000, 0.0000, 0.0000], [0.5000, 0.5000, 0.0000], [0.5000, 0.0000, 0.2557], [0.5000, 0.0000, 0.6355], [0.0000, 0.5000, 0.1374], [0.5000, 0.0000, 0.8626], [0.0000, 0.5000, 0.3645]]
}

{
  "formula": "PmHoCuIr",
  "functional": "PBE",
  "state": "optimized geometry",
  "magmom_total_mub_per_cell": 0.00,
  "formation_energy_ev_per_atom": -0.52,
  "rho_g_cm3": 11.087,
  "relative_energy_mev_per_atom": 19,
  "cell": [[4.9300, 0.0000, 0.0000], [2.4650, 4.2695, 0.0000], [2.4650, 1.4232, 4.0253]],
  "species": ["Cu", "Ir", "Ho", "Pm"],
  "fractional_positions": [[0.2500, 0.2500, 0.2500], [0.7500, 0.7500, 0.7500], [0.5000, 0.5000, 0.5000], [0.0000, 0.0000, 0.0000]]
}

{
  "formula": "PmHoCuIr",
  "functional": "PBE",
  "state": "optimized geometry",
  "magmom_total_mub_per_cell": 0.00,
  "formation_energy_ev_per_atom": -0.54,
  "rho_g_cm3": 10.578,
  "relative_energy_mev_per_atom": 0,
  "cell": [[-3.1665, 2.0803, -0.8468], [-2.4785, -2.9743, 1.9611], [2.0716, 1.5590, 4.9825]],
  "species": ["Ir", "Pm", "Ho", "Cu"],
  "fractional_positions": [[0.4216, 0.0000, 0.8432], [0.1423, 0.0000, 0.2846], [0.8641, 0.5000, 0.7282], [0.5720, 0.5000, 0.1440]]
}

{
  "formula": "HoPuCuIr",
  "functional": "PBE",
  "state": "optimized geometry",
  "magmom_total_mub_per_cell": 5.51,
  "formation_energy_ev_per_atom": -0.38,
  "rho_g_cm3": 13.546,
  "cell": [[4.8662, 0.0000, 0.0000], [2.4331, 4.2142, 0.0000], [2.4331, 1.4047, 3.9732]],
  "species": ["Cu", "Ir", "Pu", "Ho"],
  "fractional_positions": [[0.2500, 0.2500, 0.2500], [0.7500, 0.7500, 0.7500], [0.0000, 0.0000, 0.0000], [0.5000, 0.5000, 0.5000]]
}

{
  "formula": "Ho2CuSi2Ir5",
  "functional": "PBE",
  "state": "optimized geometry",
  "e_form_raw_ev_per_atom": -0.728,
  "magmom_total_mub_per_cell": 0.00,
  "rho_g_cm3": 14.546,
  "cell": [[3.4821, 0.0000, 0.0000], [0.0000, 9.6174, 0.0000], [0.0000, 0.0000, 9.6174]],
  "species": ["Ir", "Ho", "Ir", "Ir", "Ho", "Si", "Ir", "Ir", "Si", "Cu", "Ho", "Ir", "Cu", "Ir", "Si", "Ho", "Ir", "Si", "Ir", "Ir"],
  "fractional_positions": [[0.5000, 0.2927, 0.5659], [0.0000, 0.1741, 0.3259], [0.5000, 0.2073, 0.0659], [0.5000, 0.7073, 0.4341], [0.0000, 0.3259, 0.8259], [0.0000, 0.8732, 0.3732], [0.5000, 0.5000, 0.0000], [0.5000, 0.0659, 0.7927], [0.0000, 0.3732, 0.1268], [0.0000, 0.0000, 0.0000], [0.0000, 0.6741, 0.1741], [0.5000, 0.4341, 0.2927], [0.0000, 0.5000, 0.5000], [0.5000, 0.5659, 0.7073], [0.0000, 0.6268, 0.8732], [0.0000, 0.8259, 0.6741], [0.5000, 0.0000, 0.5000], [0.0000, 0.1268, 0.6268], [0.5000, 0.9341, 0.2073], [0.5000, 0.7927, 0.9341]]
}

{
  "formula": "Ho2CuSi3Ir4",
  "functional": "PBE",
  "state": "optimized geometry",
  "e_form_raw_ev_per_atom": -0.910,
  "magmom_total_mub_per_cell": 0.00,
  "rho_g_cm3": 12.318,
  "cell": [[4.0940, 0.0000, 0.0000], [0.0000, 4.0940, 0.0000], [0.0000, 0.0000, 10.0259]],
  "species": ["Si", "Ir", "Ho", "Cu", "Si", "Ir", "Ir", "Ir", "Si", "Ho"],
  "fractional_positions": [[0.5000, 0.0000, 0.8710], [0.0000, 0.5000, 0.3630], [0.5000, 0.0000, 0.2534], [0.5000, 0.5000, 0.5000], [0.0000, 0.0000, 0.5000], [0.0000, 0.0000, 0.0000], [0.5000, 0.5000, 0.0000], [0.5000, 0.0000, 0.6370], [0.0000, 0.5000, 0.1290], [0.0000, 0.5000, 0.7466]]
}

{
  "formula": "HoCuSnIr",
  "functional": "PBE",
  "state": "optimized geometry",
  "magmom_total_mub_per_cell": 0.00,
  "formation_energy_ev_per_atom": -0.46,
  "rho_g_cm3": 12.096,
  "cell": [[-4.5440, -0.9506, 0.8158], [-2.2686, -3.1430, -2.6819], [-1.2481, -4.1723, 1.8033]],
  "species": ["Ho", "Ir", "Cu", "Sn"],
  "fractional_positions": [[0.0000, 0.0000, 0.0000], [0.2500, 0.2500, 0.2500], [0.7500, 0.7500, 0.7500], [0.5000, 0.5000, 0.5000]]
}